# KCoHg2O4 (GGA+U, optimized geometry)
# Calculated volume = 273.63 Å³/cell
# Spin magnetization = 8.02 μB/cell
# Calculated total energy = -64.86 eV per cell
data_KCoHg2O4
_chemical_formula_sum 'K2 Co2 Hg4 O8'
_cell_length_a 5.756
_cell_length_b 6.307
_cell_length_c 7.538
_cell_angle_alpha 90.00
_cell_angle_beta 90.00
_cell_angle_gamma 90.00
_symmetry_space_group_name_H-M 'I 2 2 2'
_symmetry_Int_Tables_number 23
loop_
_symmetry_equiv_pos_as_xyz
'x,y,z'
'-x,-y,z'
'x,-y,-z'
'-x,y,-z'
'x+1/2,y+1/2,z+1/2'
'-x+1/2,-y+1/2,z+1/2'
'x+1/2,-y+1/2,-z+1/2'
'-x+1/2,y+1/2,-z+1/2'
loop_
_atom_site_label
_atom_site_type_symbol
_atom_site_fract_x
_atom_site_fract_y
_atom_site_fract_z
K1 K 0.000 0.000 0.000
Co1 Co 0.000 0.000 0.500
Hg1 Hg 0.000 0.500 0.200
O1 O 0.187 0.162 0.346